one:
Pu2GeBr: relaxed, PBE.

## Properties
For the magnetic moment, the calculation gives 0.173 μB per atom.

CIF file:
```
data_Pu2GeBr
_chemical_formula_sum 'Pu6 Ge3 Br3'
_space_group_name_H-M_alt 'R 3 m'
_space_group_IT_number 160
_space_group_name_Hall 'R 3 -2"'
_cell_length_a 5.0576
_cell_length_b 5.0576
_cell_length_c 15.5045
_cell_angle_alpha 90.00
_cell_angle_beta 90.00
_cell_angle_gamma 120.00
loop_
_atom_site_label
_atom_site_type_symbol
_atom_site_fract_x
_atom_site_fract_y
_atom_site_fract_z
Pu1 Pu 0.0000 0.0000 0.0000
Pu2 Pu 0.0000 0.0000 0.1663
Ge1 Ge 0.0000 0.0000 0.3549
Br1 Br 0.0000 0.0000 0.8155
```

two:
Pu2GeBr: relaxed, PBE.

## Properties
For the magnetic moment, the calculation gives 2.879 μB per atom.

CIF file:
```
data_Pu2GeBr
_chemical_formula_sum 'Pu2 Ge1 Br1'
_space_group_name_H-M_alt 'P 4/m m m'
_space_group_IT_number 123
_space_group_name_Hall '-P 4 2'
_cell_length_a 3.535
_cell_length_b 3.535
_cell_length_c 7.804
_cell_angle_alpha 90.00
_cell_angle_beta 90.00
_cell_angle_gamma 90.00
loop_
_atom_site_label
_atom_site_type_symbol
_atom_site_fract_x
_atom_site_fract_y
_atom_site_fract_z
Pu1 Pu 0.000 0.000 0.217
Ge1 Ge 0.500 0.500 0.000
Br1 Br 0.500 0.500 0.500
```

three:
Pu2GeBr: relaxed, PBE.

## Properties
For the magnetic moment, the calculation gives 2.732 μB per atom.

CIF file:
```
data_Pu2GeBr
_chemical_formula_sum 'Pu6 Ge3 Br3'
_space_group_name_H-M_alt 'R -3 m'
_space_group_IT_number 166
_space_group_name_Hall '-R 3 2"'
_cell_length_a 4.3059
_cell_length_b 4.3059
_cell_length_c 20.0776
_cell_angle_alpha 90.00
_cell_angle_beta 90.00
_cell_angle_gamma 120.00
loop_
_atom_site_label
_atom_site_type_symbol
_atom_site_fract_x
_atom_site_fract_y
_atom_site_fract_z
Pu1 Pu 0.0000 0.0000 0.2433
Ge1 Ge 0.0000 0.0000 0.5000
Br1 Br 0.0000 0.0000 0.0000
```

Preferred: two; penalty for the next structure: 1.2 kJ/mol of atoms.

one:
Rb2Ge2Br5: relaxed, PBE.

## Properties
For the magnetic moment, the calculation gives 0.085 μB per atom.

CIF file:
```
data_Rb2Ge2Br5
_chemical_formula_sum 'Rb4 Ge4 Br10'
_space_group_name_H-M_alt 'C 1 2/m 1'
_space_group_IT_number 12
_cell_length_a 16.071
_cell_length_b 5.737
_cell_length_c 8.119
_cell_angle_alpha 90.00
_cell_angle_beta 112.59
_cell_angle_gamma 90.00
loop_
_space_group_symop_operation_xyz
'x,y,z'
'-x,-y,-z'
'-x,y,-z'
'x,-y,z'
'x+1/2,y+1/2,z'
'-x+1/2,-y+1/2,-z'
'-x+1/2,y+1/2,-z'
'x+1/2,-y+1/2,z'
loop_
_atom_site_label
_atom_site_type_symbol
_atom_site_fract_x
_atom_site_fract_y
_atom_site_fract_z
Rb1 Rb 0.102 0.000 0.291
Ge1 Ge 0.145 0.500 0.869
Br1 Br 0.000 0.500 0.000
Br2 Br 0.143 0.000 0.881
Br3 Br 0.157 0.500 0.559
```

two:
Rb2Ge2Br5: relaxed, PBE.

## Properties
For the magnetic moment, the calculation gives 0.000 μB per atom.

CIF file:
```
data_Rb2Ge2Br5
_chemical_formula_sum 'Rb4 Ge4 Br10'
_space_group_name_H-M_alt 'A m m 2'
_space_group_IT_number 38
_cell_length_a 9.052
_cell_length_b 8.164
_cell_length_c 8.244
_cell_angle_alpha 90.00
_cell_angle_beta 90.00
_cell_angle_gamma 90.00
loop_
_space_group_symop_operation_xyz
'x,y,z'
'-x,-y,z'
'-x,y,z'
'x,-y,z'
'x,y+1/2,z+1/2'
'-x,-y+1/2,z+1/2'
'-x,y+1/2,z+1/2'
'x,-y+1/2,z+1/2'
loop_
_atom_site_label
_atom_site_type_symbol
_atom_site_fract_x
_atom_site_fract_y
_atom_site_fract_z
Rb1 Rb 0.000 0.000 0.000
Rb2 Rb 0.500 0.000 0.015
Ge1 Ge 0.185 0.000 0.519
Br1 Br 0.221 0.233 0.730
Br2 Br 0.500 0.000 0.471
```

Preferred: two; penalty for the next structure: 6.9 kJ/mol of atoms.

one:
Rb3Ge2Br7: relaxed, PBE.

## Properties
For the magnetic moment, the calculation gives 0.000 μB per atom.

CIF file:
```
data_Rb3Ge2Br7
_chemical_formula_sum 'Rb12 Ge8 Br28'
_space_group_name_H-M_alt 'P 1 21/c 1'
_space_group_IT_number 14
_cell_length_a 10.418
_cell_length_b 13.046
_cell_length_c 13.471
_cell_angle_alpha 90.00
_cell_angle_beta 101.82
_cell_angle_gamma 90.00
loop_
_space_group_symop_operation_xyz
'x,y,z'
'-x,-y,-z'
'-x,y+1/2,-z+1/2'
'x,-y+1/2,z+1/2'
loop_
_atom_site_label
_atom_site_type_symbol
_atom_site_fract_x
_atom_site_fract_y
_atom_site_fract_z
Rb1 Rb 0.053 0.176 0.465
Rb2 Rb 0.267 0.681 0.358
Rb3 Rb 0.391 0.190 0.805
Ge1 Ge 0.192 0.011 0.144
Ge2 Ge 0.355 0.553 0.066
Br1 Br 0.095 0.184 0.199
Br2 Br 0.169 0.061 0.957
Br3 Br 0.182 0.005 0.669
Br4 Br 0.191 0.563 0.897
Br5 Br 0.277 0.726 0.612
Br6 Br 0.417 0.147 0.539
Br7 Br 0.435 0.061 0.196
```

two:
Rb3Ge2Br7: relaxed, PBE.

## Properties
For the magnetic moment, the calculation gives 0.000 μB per atom.

CIF file:
```
data_Rb3Ge2Br7
_chemical_formula_sum 'Rb6 Ge4 Br14'
_space_group_name_H-M_alt 'I 4/m m m'
_space_group_IT_number 139
_space_group_name_Hall '-I 4 2'
_cell_length_a 5.566
_cell_length_b 5.566
_cell_length_c 28.417
_cell_angle_alpha 90.00
_cell_angle_beta 90.00
_cell_angle_gamma 90.00
loop_
_atom_site_label
_atom_site_type_symbol
_atom_site_fract_x
_atom_site_fract_y
_atom_site_fract_z
Rb1 Rb 0.000 0.000 0.000
Rb2 Rb 0.000 0.000 0.180
Ge1 Ge 0.000 0.000 0.399
Br1 Br 0.000 0.000 0.303
Br2 Br 0.000 0.000 0.500
Br3 Br 0.000 0.500 0.098
```

Preferred: one; penalty for the next structure: 1.5 kJ/mol of atoms.

one:
RbGe3Br: relaxed, PBE.

## Properties
For the magnetic moment, the calculation gives 0.651 μB per atom.

CIF file:
```
data_RbGe3Br
_chemical_formula_sum 'Rb1 Ge3 Br1'
_space_group_name_H-M_alt 'P m -3 m'
_space_group_IT_number 221
_space_group_name_Hall '-P 4 2 3'
_cell_length_a 6.062
_cell_length_b 6.062
_cell_length_c 6.062
_cell_angle_alpha 90.00
_cell_angle_beta 90.00
_cell_angle_gamma 90.00
loop_
_atom_site_label
_atom_site_type_symbol
_atom_site_fract_x
_atom_site_fract_y
_atom_site_fract_z
Rb1 Rb 0.000 0.000 0.000
Ge1 Ge 0.000 0.000 0.500
Br1 Br 0.500 0.500 0.500
```

two:
RbGe3Br: relaxed, PBE.

## Properties
For the magnetic moment, the calculation gives 0.000 μB per atom.

CIF file:
```
data_RbGe3Br
_chemical_formula_sum 'Rb1 Ge3 Br1'
_space_group_name_H-M_alt 'P m -3 m'
_space_group_IT_number 221
_space_group_name_Hall '-P 4 2 3'
_cell_length_a 5.423
_cell_length_b 5.423
_cell_length_c 5.423
_cell_angle_alpha 90.00
_cell_angle_beta 90.00
_cell_angle_gamma 90.00
loop_
_atom_site_label
_atom_site_type_symbol
_atom_site_fract_x
_atom_site_fract_y
_atom_site_fract_z
Rb1 Rb 0.000 0.000 0.000
Ge1 Ge 0.000 0.500 0.500
Br1 Br 0.500 0.500 0.500
```

Preferred: two; penalty for the next structure: 89.2 kJ/mol of atoms.

one:
Rb3GeBr6: relaxed, PBE.

## Properties
For the magnetic moment, the calculation gives 0.101 μB per atom.

CIF file:
```
data_Rb3GeBr6
_chemical_formula_sum 'Rb12 Ge4 Br24'
_space_group_name_H-M_alt 'C m c 21'
_space_group_IT_number 36
_cell_length_a 13.760
_cell_length_b 16.606
_cell_length_c 8.424
_cell_angle_alpha 90.00
_cell_angle_beta 90.00
_cell_angle_gamma 90.00
loop_
_space_group_symop_operation_xyz
'x,y,z'
'-x,-y,z+1/2'
'-x,y,z'
'x,-y,z+1/2'
'x+1/2,y+1/2,z'
'-x+1/2,-y+1/2,z+1/2'
'-x+1/2,y+1/2,z'
'x+1/2,-y+1/2,z+1/2'
loop_
_atom_site_label
_atom_site_type_symbol
_atom_site_fract_x
_atom_site_fract_y
_atom_site_fract_z
Rb1 Rb 0.000 0.069 0.000
Rb2 Rb 0.201 0.404 0.086
Ge1 Ge 0.000 0.312 0.670
Br1 Br 0.000 0.313 0.371
Br2 Br 0.000 0.451 0.787
Br3 Br 0.142 0.242 0.793
Br4 Br 0.168 0.035 0.284
```

two:
Rb3GeBr6: relaxed, PBE.

## Properties
For the magnetic moment, the calculation gives 0.000 μB per atom.

CIF file:
```
data_Rb3GeBr6
_chemical_formula_sum 'Rb12 Ge4 Br24'
_space_group_name_H-M_alt 'F m -3 m'
_space_group_IT_number 225
_space_group_name_Hall '-F 4 2 3'
_cell_length_a 11.766
_cell_length_b 11.766
_cell_length_c 11.766
_cell_angle_alpha 90.00
_cell_angle_beta 90.00
_cell_angle_gamma 90.00
loop_
_atom_site_label
_atom_site_type_symbol
_atom_site_fract_x
_atom_site_fract_y
_atom_site_fract_z
Rb1 Rb 0.000 0.000 0.000
Rb2 Rb 0.250 0.250 0.250
Ge1 Ge 0.000 0.000 0.500
Br1 Br 0.000 0.000 0.275
```

Preferred: one; penalty for the next structure: 1.6 kJ/mol of atoms.

one:
Rb2GeBr4: relaxed, PBE.

## Properties
For the magnetic moment, the calculation gives 0.000 μB per atom.

CIF file:
```
data_Rb2GeBr4
_chemical_formula_sum 'Rb4 Ge2 Br8'
_space_group_name_H-M_alt 'I 4/m m m'
_space_group_IT_number 139
_space_group_name_Hall '-I 4 2'
_cell_length_a 5.544
_cell_length_b 5.544
_cell_length_c 17.430
_cell_angle_alpha 90.00
_cell_angle_beta 90.00
_cell_angle_gamma 90.00
loop_
_atom_site_label
_atom_site_type_symbol
_atom_site_fract_x
_atom_site_fract_y
_atom_site_fract_z
Rb1 Rb 0.000 0.000 0.140
Ge1 Ge 0.000 0.000 0.500
Br1 Br 0.000 0.000 0.338
Br2 Br 0.000 0.500 0.000
```

two:
Rb2GeBr4: relaxed, PBE.

## Properties
For the magnetic moment, the calculation gives 0.000 μB per atom.

CIF file:
```
data_Rb2GeBr4
_chemical_formula_sum 'Rb4 Ge2 Br8'
_space_group_name_H-M_alt 'P 1 21/m 1'
_space_group_IT_number 11
_cell_length_a 7.940
_cell_length_b 7.327
_cell_length_c 10.062
_cell_angle_alpha 90.00
_cell_angle_beta 108.96
_cell_angle_gamma 90.00
loop_
_space_group_symop_operation_xyz
'x,y,z'
'-x,-y,-z'
'-x,y+1/2,-z'
'x,-y+1/2,z'
loop_
_atom_site_label
_atom_site_type_symbol
_atom_site_fract_x
_atom_site_fract_y
_atom_site_fract_z
Rb1 Rb 0.102 0.250 0.420
Rb2 Rb 0.264 0.750 0.066
Ge1 Ge 0.466 0.750 0.658
Br1 Br 0.198 0.750 0.397
Br2 Br 0.203 0.250 0.109
Br3 Br 0.322 0.501 0.754
```

Preferred: one; penalty for the next structure: 0.9 kJ/mol of atoms.